[1]
VASP calculation (PBE) on a relaxed Dy2YTm4 crystal.

Cell: 16.5400 3.5064 8.6238 Å, 90.00 119.87 90.00°
Space group C2/m (No. 12)
Symmetry-distinct sites (fractional):
Dy1 0.0700 0.0000 0.4307 x4
Y1 0.0000 0.0000 0.0000 x2
Tm1 0.1435 0.5000 0.8366 x4
Tm2 0.2048 0.5000 0.2946 x4

Output
- DOS(E_F) (states/eV/f.u.) = 11.700
- DFT formation energy (eV per atom) = 0.042
- volume (Å³/cell) = 433.7

***

[2]
VASP calculation (PBE) on a relaxed KTaIr2O8 crystal.

Cell: 5.4882 5.4882 7.9106 Å, 90.00 90.00 120.00°
Space group P-3 (No. 147)
Symmetry-distinct sites (fractional):
K1 0.0000 0.0000 0.0000 x1
Ta1 0.0000 0.0000 0.5000 x1
Ir1 0.3333 0.6667 0.7593 x2
O1 0.0844 0.3243 0.6493 x6
O2 0.3333 0.6667 0.9823 x2

Output
- DOS(E_F) (states/eV/f.u.) = 6.235
- volume (Å³/cell) = 206.3
- formation energy (no corrections) (eV/atom) = -1.117

***

[3]
VASP calculation (PBE) on a relaxed NbTlFe3 crystal.

Cell: 4.6198 4.6198 4.6198 Å, 90.00 90.00 90.00°
Space group Pm-3m (No. 221)
Symmetry-distinct sites (fractional):
Nb1 0.0000 0.0000 0.0000 x1
Tl1 0.5000 0.5000 0.5000 x1
Fe1 0.0000 0.0000 0.5000 x3

Output
- DOS(E_F) (states/eV/f.u.) = 5.597
- DFT formation energy (eV per atom) = 1.372
- volume (Å³/cell) = 98.6

***

[4]
VASP calculation (PBE) on a relaxed LiLaN2F crystal.

Cell: 3.7495 3.7495 4.0992 Å, 90.00 90.00 90.00°
Space group P4/mmm (No. 123)
Symmetry-distinct sites (fractional):
Li1 0.0000 0.0000 0.0000 x1
La1 0.5000 0.5000 0.5000 x1
N1 0.0000 0.5000 0.0000 x2
F1 0.0000 0.0000 0.5000 x1

Output
- DOS(E_F) (states/eV/f.u.) = 1.493
- volume (Å³/cell) = 57.6
- formation energy (no corrections) (eV/atom) = -0.790

***

[5]
VASP calculation (PBE) on a relaxed ErZn9Pd2 crystal.

Cell: 10.5322 10.5322 6.9331 Å, 90.00 90.00 90.00°
Space group I4_1/amd (No. 141, origin choice 2)
Symmetry-distinct sites (fractional):
Er1 0.0000 0.2500 0.3750 x4
Zn1 0.0000 0.2500 0.8750 x4
Zn2 0.1204 0.0436 0.6749 x32
Pd1 0.0000 0.0000 0.0000 x8

Output
- DOS(E_F) (states/eV/f.u.) = 6.457
- DFT formation energy (eV per atom) = -0.335
- volume (Å³/cell) = 769.1

***

[6]
VASP calculation (PBE) on a relaxed Ba2UP2N6 crystal.

Cell: 5.8697 5.8697 16.8759 Å, 90.00 90.00 120.00°
Space group R-3m (No. 166, hexagonal axes)
Symmetry-distinct sites (fractional):
Ba1 0.0000 0.0000 0.2304 x6
U1 0.0000 0.0000 0.0000 x3
P1 0.0000 0.0000 0.4339 x6
N1 0.0214 0.5107 0.2584 x18

Output
- volume (Å³/cell) = 503.5
- formation energy (no corrections) (eV/atom) = -1.023